A plane-wave DFT calculation with GGA+U was carried out for a relaxed structure of VAgB2F8.

E (eV per cell): -66.47
Total magnetization (μB per formula unit): 2.21
DOS at the Fermi energy (states/eV/f.u.): 2.0
Crystal system: trigonal

Geometry as CIF:
```
data_VAgB2F8
_chemical_formula_sum 'V1 Ag1 B2 F8'
_symmetry_space_group_name_H-M 'P -3 m 1'
_symmetry_Int_Tables_number 164
_symmetry_space_group_name_Hall '-P 3 2"'
_cell_length_a 5.6866
_cell_length_b 5.6866
_cell_length_c 6.4842
_cell_angle_alpha 90.00
_cell_angle_beta 90.00
_cell_angle_gamma 120.00
loop_
_atom_site_label
_atom_site_fract_x
_atom_site_fract_y
_atom_site_fract_z
V1 0.0000 0.0000 0.0000
Ag1 0.0000 0.0000 0.5000
B1 0.3333 0.6667 0.7707
F1 0.1978 0.3956 0.8526
F2 0.3333 0.6667 0.5605
```